Model A:
Density functional theory data (PBE-GGA) for crystalline AgSnTe3 at its relaxed geometry.

Calculated values
Space-group type: Pm-3m (221)
Crystal system: cubic
Density (g cm⁻³): 5.4

Lattice parameters (Å, degrees): 5.715 5.715 5.715 90.00 90.00 90.00
Fractional positions:
1 Sn 0.000 0.000 0.000
2 Te 0.000 0.000 0.500
3 Te 0.000 0.500 0.000
4 Te 0.500 0.000 0.000
5 Ag 0.500 0.500 0.500



Model B:
Density functional theory data (PBE-GGA) for crystalline AgSnTe3 at its relaxed geometry.

Calculated values
Space-group type: C2/m (12)
Crystal system: monoclinic
Density (g cm⁻³): 5.8

Lattice parameters (Å, degrees): 4.463 7.437 10.787 88.33 101.94 90.00
Fractional positions:
1 Te 0.357 0.995 0.715
2 Te 0.643 0.005 0.285
3 Te 0.203 0.468 0.406
4 Te 0.983 0.320 0.965
5 Te 0.017 0.680 0.035
6 Te 0.797 0.532 0.594
7 Ag 0.782 0.920 0.564
8 Ag 0.218 0.080 0.436
9 Sn 0.616 0.633 0.232
10 Sn 0.384 0.367 0.768



Relative to the most stable one, in meV/atom, the structures come out at model A 657; model B 0.



Model A:
Density functional theory data (PBE-GGA) for crystalline AgSnTe3 at its relaxed geometry.

Calculated values
Space-group type: Pnma (62)
Crystal system: orthorhombic
Density (g cm⁻³): 6.6

Lattice parameters (Å, degrees): 4.253 8.908 16.271 90.00 90.00 90.00
Fractional positions:
1 Te 0.250 0.724 0.273
2 Te 0.250 0.444 0.903
3 Te 0.250 0.887 0.973
4 Te 0.750 0.556 0.097
5 Te 0.250 0.387 0.527
6 Te 0.750 0.056 0.403
7 Te 0.750 0.776 0.773
8 Te 0.250 0.944 0.597
9 Te 0.750 0.276 0.727
10 Te 0.750 0.113 0.027
11 Te 0.250 0.224 0.227
12 Te 0.750 0.613 0.473
13 Sn 0.750 0.494 0.291
14 Sn 0.250 0.006 0.791
15 Sn 0.250 0.506 0.709
16 Sn 0.750 0.994 0.209
17 Ag 0.250 0.846 0.432
18 Ag 0.750 0.654 0.932
19 Ag 0.750 0.154 0.568
20 Ag 0.250 0.346 0.068



Model B:
Density functional theory data (PBE-GGA) for crystalline AgSnTe3 at its relaxed geometry.

Calculated values
Space-group type: Pm-3m (221)
Crystal system: cubic
Density (g cm⁻³): 6.3

Lattice parameters (Å, degrees): 5.432 5.432 5.432 90.00 90.00 90.00
Fractional positions:
1 Te 0.500 0.000 0.000
2 Te 0.000 0.000 0.500
3 Te 0.000 0.500 0.000
4 Sn 0.500 0.500 0.500
5 Ag 0.000 0.000 0.000



Relative to the most stable one, in meV/atom, the structures come out at model A 0; model B 382.